<i>
A relaxed GdHfHg crystal. Source: OQMD, functional PBE.

a = 7.032 Å, b = 7.032 Å, c = 7.032 Å
α = 90.00°, β = 90.00°, γ = 90.00°
Element x y z (fractional)
Gd 0.000 0.000 0.000
Gd 0.000 0.500 0.500
Gd 0.500 0.000 0.500
Gd 0.500 0.500 0.000
Hf 0.250 0.250 0.750
Hf 0.250 0.750 0.250
Hf 0.750 0.250 0.250
Hf 0.750 0.750 0.750
Hg 0.250 0.250 0.250
Hg 0.250 0.750 0.750
Hg 0.750 0.250 0.750
Hg 0.750 0.750 0.250

Values from the calculation:
* total magnetization: 0.77 μB/f.u.
* space group: F-43m, No. 216

<ii>
A relaxed GdHfHg crystal. Source: OQMD, functional PBE.

a = 6.961 Å, b = 6.961 Å, c = 6.961 Å
α = 90.00°, β = 90.00°, γ = 90.00°
Element x y z (fractional)
Gd 0.000 0.000 0.000
Gd 0.000 0.500 0.500
Gd 0.500 0.000 0.500
Gd 0.500 0.500 0.000
Hf 0.000 0.000 0.500
Hf 0.000 0.500 0.000
Hf 0.500 0.000 0.000
Hf 0.500 0.500 0.500
Hg 0.250 0.250 0.250
Hg 0.250 0.750 0.750
Hg 0.750 0.250 0.750
Hg 0.750 0.750 0.250

Values from the calculation:
* total magnetization: 1.01 μB/f.u.
* space group: F-43m, No. 216

Most stable structure, least stable structure: <ii>, <i>.

<i>
A relaxed GdHfNO crystal. Source: OQMD, functional PBE.

a = 4.187 Å, b = 4.187 Å, c = 8.095 Å
α = 90.00°, β = 90.00°, γ = 90.00°
Element x y z (fractional)
Gd 0.250 0.250 0.119
Gd 0.750 0.750 0.881
Hf 0.250 0.750 0.500
Hf 0.750 0.250 0.500
N 0.250 0.250 0.546
N 0.750 0.750 0.454
O 0.250 0.750 0.000
O 0.750 0.250 0.000

Values from the calculation:
* total magnetization: 0.00 μB/f.u.
* space group: P4/nmm, No. 129

<ii>
A relaxed GdHfNO crystal. Source: OQMD, functional PBE.

a = 8.064 Å, b = 6.211 Å, c = 4.881 Å
α = 90.00°, β = 90.00°, γ = 90.00°
Element x y z (fractional)
Gd 0.137 0.074 0.250
Gd 0.137 0.426 0.750
Gd 0.863 0.574 0.250
Gd 0.863 0.926 0.750
Hf 0.391 0.550 0.250
Hf 0.391 0.950 0.750
Hf 0.609 0.050 0.250
Hf 0.609 0.450 0.750
N 0.141 0.045 0.750
N 0.141 0.455 0.250
N 0.859 0.545 0.750
N 0.859 0.955 0.250
O 0.374 0.616 0.750
O 0.374 0.884 0.250
O 0.626 0.116 0.750
O 0.626 0.384 0.250

Values from the calculation:
* total magnetization: 0.00 μB/f.u.
* space group: Pbcm, No. 57

Most stable structure, least stable structure: <i>, <ii>.